DFT (PBE) results for crystalline NaHg2Pd6 at its relaxed geometry.

Lattice parameters (Å, degrees): 4.596 4.596 8.387 90.00 90.00 120.00
Sites, in units of the cell vectors:
Na  0.000  0.000  0.000
Hg  0.333  0.667  0.226
Hg  0.667  0.333  0.774
Pd  0.000  0.000  0.338
Pd  0.000  0.000  0.662
Pd  0.333  0.667  0.555
Pd  0.333  0.667  0.885
Pd  0.667  0.333  0.115
Pd  0.667  0.333  0.445



DFT (PBE) results for crystalline Na2Hg2Pd at its relaxed geometry.

Lattice parameters (Å, degrees): 7.244 7.244 4.679 90.00 90.00 90.00
Sites, in units of the cell vectors:
Na  0.172  0.328  0.000
Na  0.328  0.828  0.000
Na  0.672  0.172  0.000
Na  0.828  0.672  0.000
Hg  0.146  0.646  0.500
Hg  0.354  0.146  0.500
Hg  0.646  0.854  0.500
Hg  0.854  0.354  0.500
Pd  0.000  0.000  0.500
Pd  0.500  0.500  0.500

Calculated values
ΔE to the lowest computed polymorph: 35.8 meV/atom



DFT (PBE) results for crystalline Na4Hg4Pd at its relaxed geometry.

Lattice parameters (Å, degrees): 5.675 6.436 6.522 75.27 83.64 81.10
Sites, in units of the cell vectors:
Na  0.186  0.140  0.270
Na  0.276  0.682  0.100
Na  0.724  0.318  0.900
Na  0.814  0.860  0.730
Hg  0.265  0.139  0.758
Hg  0.359  0.688  0.611
Hg  0.641  0.312  0.389
Hg  0.735  0.861  0.242
Pd  0.000  0.500  0.500

Calculated values
ΔE to the lowest computed polymorph: 0.0 meV/atom



DFT (PBE) results for crystalline Na2HgPd6 at its relaxed geometry.

Lattice parameters (Å, degrees): 6.413 6.413 6.413 60.00 60.00 60.00
Sites, in units of the cell vectors:
Na  0.250  0.250  0.250
Na  0.750  0.750  0.750
Hg  0.000  0.000  0.000
Pd  0.289  0.289  0.711
Pd  0.289  0.711  0.289
Pd  0.289  0.711  0.711
Pd  0.711  0.289  0.289
Pd  0.711  0.289  0.711
Pd  0.711  0.711  0.289



DFT (PBE) results for crystalline NaHg6Pd2 at its relaxed geometry.

Lattice parameters (Å, degrees): 5.567 5.567 8.148 100.15 100.15 118.48
Sites, in units of the cell vectors:
Na  0.000  0.000  0.000
Hg  0.206  0.206  0.411
Hg  0.241  0.574  0.809
Hg  0.426  0.759  0.191
Hg  0.574  0.241  0.809
Hg  0.759  0.426  0.191
Hg  0.794  0.794  0.589
Pd  0.250  0.750  0.500
Pd  0.750  0.250  0.500



DFT (PBE) results for crystalline Na2Hg3Pd4 at its relaxed geometry.

Lattice parameters (Å, degrees): 4.280 5.068 8.787 74.95 89.75 65.04
Sites, in units of the cell vectors:
Na  0.165  0.169  0.219
Na  0.835  0.831  0.781
Hg  0.166  0.170  0.568
Hg  0.500  0.500  0.000
Hg  0.834  0.830  0.432
Pd  0.169  0.163  0.894
Pd  0.499  0.504  0.665
Pd  0.501  0.496  0.335
Pd  0.831  0.837  0.106



DFT (PBE) results for crystalline NaHg4Pd at its relaxed geometry.

Lattice parameters (Å, degrees): 4.547 4.547 9.642 103.81 103.81 59.42
Sites, in units of the cell vectors:
Na  0.000  0.000  0.000
Hg  0.129  0.129  0.385
Hg  0.395  0.395  0.189
Hg  0.605  0.605  0.811
Hg  0.871  0.871  0.615
Pd  0.500  0.500  0.500

Calculated values
ΔE to the lowest computed polymorph: 0.0 meV/atom



DFT (PBE) results for crystalline Na3Hg4Pd2 at its relaxed geometry.

Lattice parameters (Å, degrees): 5.440 5.440 12.544 98.55 98.55 32.79
Sites, in units of the cell vectors:
Na  0.000  0.000  0.000
Na  0.374  0.374  0.346
Na  0.626  0.626  0.654
Hg  0.123  0.123  0.425
Hg  0.288  0.288  0.117
Hg  0.712  0.712  0.883
Hg  0.877  0.877  0.575
Pd  0.387  0.387  0.773
Pd  0.613  0.613  0.227

Calculated values
ΔE to the lowest computed polymorph: 58.1 meV/atom



DFT (PBE) results for crystalline Na4HgPd at its relaxed geometry.

Lattice parameters (Å, degrees): 7.801 7.801 7.801 123.28 123.28 84.40
Sites, in units of the cell vectors:
Na  0.032  0.532  0.841
Na  0.191  0.032  0.500
Na  0.309  0.809  0.841
Na  0.468  0.309  0.500
Na  0.532  0.691  0.500
Na  0.691  0.191  0.159
Na  0.809  0.968  0.500
Na  0.968  0.468  0.159
Hg  0.000  0.000  0.000
Hg  0.500  0.500  0.000
Pd  0.250  0.250  0.000
Pd  0.750  0.750  0.000

Calculated values
ΔE to the lowest computed polymorph: 0.0 meV/atom



DFT (PBE) results for crystalline Na2HgPd at its relaxed geometry.

Lattice parameters (Å, degrees): 10.997 10.997 10.997 16.26 16.26 16.26
Sites, in units of the cell vectors:
Na  0.082  0.082  0.082
Na  0.918  0.918  0.918
Hg  0.500  0.500  0.500
Pd  0.000  0.000  0.000



DFT (PBE) results for crystalline NaHg3Pd at its relaxed geometry.

Lattice parameters (Å, degrees): 5.309 5.309 5.309 90.00 90.00 90.00
Sites, in units of the cell vectors:
Na  0.000  0.000  0.000
Hg  0.000  0.500  0.500
Hg  0.500  0.000  0.500
Hg  0.500  0.500  0.000
Pd  0.500  0.500  0.500

Calculated values
ΔE to the lowest computed polymorph: 52.2 meV/atom



DFT (PBE) results for crystalline Na8Hg6Pd at its relaxed geometry.

Lattice parameters (Å, degrees): 8.171 8.171 8.171 64.48 64.48 64.48
Sites, in units of the cell vectors:
Na  0.026  0.735  0.391
Na  0.163  0.163  0.163
Na  0.265  0.609  0.974
Na  0.391  0.026  0.735
Na  0.609  0.974  0.265
Na  0.735  0.391  0.026
Na  0.837  0.837  0.837
Na  0.974  0.265  0.609
Hg  0.145  0.446  0.755
Hg  0.245  0.855  0.554
Hg  0.446  0.755  0.145
Hg  0.554  0.245  0.855
Hg  0.755  0.145  0.446
Hg  0.855  0.554  0.245
Pd  0.500  0.500  0.500

Calculated values
ΔE to the lowest computed polymorph: 0.0 meV/atom



Which V belongs to each record? In order, 153; 246; 227; 186; 208; 166; 165; 199; 317; 91; 150; 424 Å³ per cell.
Which energy relative to the elements belongs to each record? In order, -0.1063; -0.1715; -0.2026; 0.1416; -0.1489; -0.1578; -0.0727; -0.1373; -0.1445; 0.1057; -0.1162; -0.1595 eV/atom.